[1]
Compound: Ca2Ni10H
Source: Alexandria
Functional: GGA-PBE
Structure: relaxed

Cell: 4.9502 4.9502 7.9162 Å, 89.53 89.53 60.53°
Closest atoms and distances in Å follow each position.
Fractional coordinates of all 13 atoms:
Ni1 0.5017 0.0013 0.2471  8 Ni 2.43-2.50
Ni2 0.5006 0.5006 0.2494  8 Ni 2.40-2.48
Ni3 0.4877 0.0055 0.7433  1 H 1.61
Ni4 0.4984 0.4984 0.7431  8 Ni 2.42-2.48
Ni5 0.0055 0.4877 0.7433  1 H 1.61
Ni6 0.0013 0.5017 0.2471  8 Ni 2.43-2.50
Ni7 0.3308 0.3308 0.4953  6 Ni 2.41-2.44
Ni8 0.6613 0.6613 0.9984  1 H 1.64
Ni9 0.6656 0.6656 0.4949  6 Ni 2.41-2.46
Ni10 0.3410 0.3410 0.9984  6 Ni 2.42-2.49
Ca1 0.9977 0.9977 0.4986  16 Ni 2.84-3.18
Ca2 0.0071 0.0071 0.0121  1 H 2.20
H1 0.7979 0.7979 0.8518  3 Ni 1.61-1.64

The density of states at the Fermi level comes out at 16.05 states/eV/cell. The total energy comes out at -5.12 eV/atom. For the density, the calculation gives 6.6 Mg/m³.

***

[2]
Compound: TbMgSb2
Source: Alexandria
Functional: GGA-PBE
Structure: relaxed

Cell: 4.3693 4.3693 7.3851 Å, 72.79 72.79 60.00°
Closest atoms and distances in Å follow each position.
Fractional coordinates of all 4 atoms:
Tb1 0.5000 0.5000 0.5000  6 Sb 3.11
Mg1 0.0000 0.0000 0.0000  6 Sb 3.02
Sb1 0.7460 0.7460 0.7619  3 Mg 3.02, 3 Tb 3.11
Sb2 0.2540 0.2540 0.2381  3 Mg 3.02, 3 Tb 3.11

The density of states at the Fermi level comes out at 2.84 states/eV/cell. The uncorrected formation energy comes out at -55 kJ/mol of atoms. For the density, the calculation gives 6.2 Mg/m³.

***

[3]
Compound: NaSr3H2
Source: Alexandria
Functional: GGA-PBE
Structure: relaxed

Cell: 6.0305 8.1359 8.1359 Å, 103.16 90.00 90.00°
Closest atoms and distances in Å follow each position.
Fractional coordinates of all 12 atoms:
H1 0.5000 0.1467 0.1467  4 Sr 2.47-2.48
H2 0.5000 0.8533 0.8533  4 Sr 2.47-2.48
H3 0.0000 0.1467 0.1467  4 Sr 2.47-2.48
H4 0.0000 0.8533 0.8533  4 Sr 2.47-2.48
Na1 0.7500 0.6714 0.3286  10 Sr 3.82-4.23
Na2 0.2500 0.3286 0.6714  10 Sr 3.82-4.23
Sr1 0.2500 0.8307 0.6086  2 H 2.47
Sr2 0.2500 0.8985 0.1015  4 H 2.48
Sr3 0.7500 0.1693 0.3914  2 H 2.47
Sr4 0.2500 0.3914 0.1693  2 H 2.47
Sr5 0.7500 0.6086 0.8307  2 H 2.47
Sr6 0.7500 0.1015 0.8985  4 H 2.48

The density of states at the Fermi level comes out at 6.00 states/eV/cell. The total energy comes out at -2.43 eV/atom. For the density, the calculation gives 2.5 Mg/m³.

***

[4]
Compound: MgTi2C
Source: Alexandria
Functional: GGA-PBE
Structure: relaxed

Cell: 3.1010 3.1010 7.6495 Å, 78.31 78.31 60.00°
Closest atoms and distances in Å follow each position.
Fractional coordinates of all 4 atoms:
Ti1 0.7170 0.7170 0.8489  3 C 2.11
Ti2 0.2830 0.2830 0.1511  3 C 2.11
C1 0.0000 0.0000 0.0000  6 Ti 2.11
Mg1 0.5000 0.5000 0.5000  6 Mg 3.10, 6 Ti 3.15

The calculation puts the energy of formation at -0.47 eV per atom. The density of states at the Fermi level comes out at 2.21 states/eV/cell. For the density, the calculation gives 3.5 Mg/m³.

***

[5]
Compound: Tm3HgAu2
Source: Alexandria
Functional: GGA-PBE
Structure: relaxed

Cell: 3.6107 3.6107 10.6705 Å, 90.00 90.00 90.00°
Closest atoms and distances in Å follow each position.
Fractional coordinates of all 6 atoms:
Au1 0.5000 0.5000 0.1651  8 Tm 3.07-3.10
Au2 0.5000 0.5000 0.8349  8 Tm 3.07-3.10
Tm1 0.0000 0.0000 0.3244  4 Au 3.07, 4 Hg 3.17
Tm2 0.0000 0.0000 0.0000  8 Au 3.10, 2 Tm 3.46
Tm3 0.0000 0.0000 0.6756  4 Au 3.07, 4 Hg 3.17
Hg1 0.5000 0.5000 0.5000  8 Tm 3.17

The calculation puts the energy of formation at -0.75 eV per atom. The density of states at the Fermi level comes out at 3.12 states/eV/cell. For the density, the calculation gives 13.1 Mg/m³.

***

[6]
Compound: ReWAu2
Source: Alexandria
Functional: GGA-PBE
Structure: relaxed

Cell: 4.5606 4.5606 4.5606 Å, 60.00 60.00 60.00°
Closest atoms and distances in Å follow each position.
Fractional coordinates of all 4 atoms:
Au1 0.0000 0.0000 0.0000  4 W 2.79, 4 Au 2.79
Au2 0.2500 0.2500 0.2500  4 Re 2.79, 4 Au 2.79
W1 0.7500 0.7500 0.7500  4 Re 2.79, 4 Au 2.79
Re1 0.5000 0.5000 0.5000  4 Au 2.79, 4 W 2.79

The calculation puts the energy of formation at 0.65 eV per atom. The density of states at the Fermi level comes out at 2.96 states/eV/cell. For the density, the calculation gives 18.9 Mg/m³.

***

[7]
Compound: CeYPuPa
Source: Alexandria
Functional: GGA-PBE
Structure: relaxed

Cell: 5.3891 5.3891 5.3891 Å, 60.00 60.00 60.00°
Closest atoms and distances in Å follow each position.
Fractional coordinates of all 4 atoms:
Pa1 0.2500 0.2500 0.2500  4 Pu 3.30, 4 Ce 3.30
Y1 0.7500 0.7500 0.7500  4 Ce 3.30, 4 Pu 3.30
Pu1 0.0000 0.0000 0.0000  4 Y 3.30, 4 Pa 3.30
Ce1 0.5000 0.5000 0.5000  4 Pa 3.30, 4 Y 3.30

The calculation puts the energy of formation at 0.32 eV per atom. The density of states at the Fermi level comes out at 11.35 states/eV/cell. For the density, the calculation gives 10.6 Mg/m³.

***

[8]
Compound: RbCrS2
Source: Alexandria
Functional: GGA-PBE
Structure: relaxed

Cell: 6.4438 3.4515 9.2467 Å, 89.95 113.10 90.03°
Closest atoms and distances in Å follow each position.
Fractional coordinates of all 8 atoms:
S1 0.1660 0.5534 0.7650  1 Cr 2.12
S2 0.7815 0.0547 0.4298  3 Cr 2.21-2.26
S3 0.8449 0.5557 0.1169  2 Cr 2.40
S4 0.2753 0.5560 0.4105  3 Cr 2.19-2.33
Rb1 0.6457 0.0557 0.7513  9 S 3.41-3.73, 2 Rb 3.45
Rb2 0.3656 0.0521 0.0911  5 S 3.23-3.47, 2 Rb 3.45, 1 Cr 3.56
Cr1 0.0148 0.0560 0.3077  5 S 2.21-2.40
Cr2 0.0252 0.5547 0.5161  4 S 2.12-2.26

The density of states at the Fermi level comes out at 0.00 states/eV/cell. The uncorrected formation energy comes out at -73 kJ/mol of atoms. For the density, the calculation gives 3.5 Mg/m³.

***

[9]
Compound: LaTl3
Source: Alexandria
Functional: GGA-PBE
Structure: relaxed

Cell: 5.4476 3.6278 6.2157 Å, 84.62 90.00 90.00°
Closest atoms and distances in Å follow each position.
Fractional coordinates of all 4 atoms:
Tl1 0.5000 0.3068 0.2552  5 Tl 3.23-3.60, 2 La 3.39
Tl2 0.5000 0.6932 0.7448  5 Tl 3.23-3.60, 2 La 3.39
Tl3 0.0000 0.5000 0.5000  4 Tl 3.23, 2 La 3.45
La1 0.0000 0.0000 0.0000  8 Tl 3.39-3.74, 2 La 3.63

The calculation puts the energy of formation at -0.18 eV per atom. The density of states at the Fermi level comes out at 3.42 states/eV/cell. For the density, the calculation gives 10.2 Mg/m³.

***

[10]
Compound: Nb2VHPt
Source: Alexandria
Functional: GGA-PBE
Structure: relaxed

Cell: 4.2182 4.2182 3.7924 Å, 90.00 90.00 90.00°
Closest atoms and distances in Å follow each position.
Fractional coordinates of all 5 atoms:
H1 0.0000 0.0000 0.0000  2 V 1.90, 4 Nb 2.11
Nb1 0.5000 0.0000 0.0000  2 H 2.11
Nb2 0.0000 0.5000 0.0000  2 H 2.11
V1 0.0000 0.0000 0.5000  2 H 1.90
Pt1 0.5000 0.5000 0.5000  8 Nb 2.84, 4 V 2.98

The density of states at the Fermi level comes out at 4.37 states/eV/cell. The total energy comes out at -8.01 eV/atom. For the density, the calculation gives 10.7 Mg/m³.

***

[11]
Compound: Rb2TiBiBr6
Source: Alexandria
Functional: GGA-PBE
Structure: relaxed

Cell: 7.7953 7.7953 8.3976 Å, 62.35 62.35 90.00°
Closest atoms and distances in Å follow each position.
Fractional coordinates of all 10 atoms:
Br1 0.2945 0.2945 0.4110  1 Ti 2.60
Br2 0.2610 0.2610 0.0000  1 Ti 2.63, 1 Bi 2.88
Br3 0.7390 0.7390 0.0000  1 Ti 2.63, 1 Bi 2.88
Br4 0.7055 0.7055 0.5890  1 Ti 2.60
Br5 0.7390 0.2610 0.0000  1 Ti 2.63, 1 Bi 2.88
Br6 0.2610 0.7390 0.0000  1 Ti 2.63, 1 Bi 2.88
Bi1 0.0000 0.0000 0.0000  4 Br 2.88
Ti1 0.5000 0.5000 0.0000  6 Br 2.60-2.63
Rb1 0.2500 0.7500 0.5000  12 Br 3.94-4.20
Rb2 0.7500 0.2500 0.5000  12 Br 3.94-4.20

The density of states at the Fermi level comes out at 3.54 states/eV/cell. The uncorrected formation energy comes out at -105 kJ/mol of atoms. For the density, the calculation gives 3.9 Mg/m³.

***

[12]
Compound: TbTiZnAg
Source: Alexandria
Functional: GGA-PBE
Structure: relaxed

Cell: 4.8652 4.8652 4.8652 Å, 60.00 60.00 60.00°
Closest atoms and distances in Å follow each position.
Fractional coordinates of all 4 atoms:
Ag1 0.5000 0.5000 0.5000  4 Tb 2.98, 4 Ti 2.98
Ti1 0.7500 0.7500 0.7500  4 Zn 2.98, 4 Ag 2.98
Zn1 0.0000 0.0000 0.0000  4 Ti 2.98, 4 Tb 2.98
Tb1 0.2500 0.2500 0.2500  4 Zn 2.98, 4 Ag 2.98

The calculation puts the energy of formation at -0.07 eV per atom. The density of states at the Fermi level comes out at 3.25 states/eV/cell. For the density, the calculation gives 7.8 Mg/m³.

***

[13]
Compound: LiHAu
Source: Alexandria
Functional: GGA-PBE
Structure: relaxed

Cell: 3.0003 4.6487 4.7854 Å, 90.00 90.00 89.99°
Closest atoms and distances in Å follow each position.
Fractional coordinates of all 6 atoms:
H1 0.8113 0.3829 0.8964  2 Au 1.90, 4 Li 2.12
H2 0.8112 0.8829 0.8965  2 Au 1.90, 4 Li 2.12
Au1 0.8116 0.1329 0.2103  2 H 1.90
Au2 0.8116 0.6329 0.5826  2 H 1.90
Li1 0.3120 0.1328 0.6997  4 H 2.12
Li2 0.3120 0.6329 0.0932  4 H 2.12

The density of states at the Fermi level comes out at 1.29 states/eV/cell. The total energy comes out at -3.15 eV/atom. For the density, the calculation gives 10.2 Mg/m³.

***

[14]
Compound: Ba2ScCr
Source: Alexandria
Functional: GGA-PBE
Structure: relaxed

Cell: 11.6847 11.6847 11.6847 Å, 18.98 18.98 18.98°
Closest atoms and distances in Å follow each position.
Fractional coordinates of all 4 atoms:
Sc1 0.7500 0.7500 0.7500  6 Ba 3.75, 6 Sc 3.85
Ba1 0.9956 0.9956 0.9956  3 Cr 3.51, 3 Sc 3.75, 6 Ba 3.85
Ba2 0.5044 0.5044 0.5044  3 Cr 3.51, 3 Sc 3.75, 6 Ba 3.85
Cr1 0.2500 0.2500 0.2500  6 Ba 3.51, 6 Cr 3.85

The calculation puts the energy of formation at 0.79 eV per atom. The density of states at the Fermi level comes out at 5.78 states/eV/cell. For the density, the calculation gives 4.2 Mg/m³.

***

[15]
Compound: ScAg2As2O6
Source: Alexandria
Functional: GGA-PBE
Structure: relaxed

Cell: 5.7600 5.3355 6.6515 Å, 112.92 90.00 122.67°
Closest atoms and distances in Å follow each position.
Fractional coordinates of all 11 atoms:
As1 0.9341 0.8683 0.7631  3 O 1.76-1.79
As2 0.0659 0.1317 0.2369  3 O 1.76-1.79
O1 0.2576 0.5152 0.4872  1 As 1.76
O2 0.7424 0.4848 0.5128  1 As 1.76
O3 0.1784 0.8808 0.2453  1 As 1.79
O4 0.7024 0.8808 0.2453  1 As 1.79
O5 0.2976 0.1192 0.7547  1 As 1.79
O6 0.8216 0.1192 0.7547  1 As 1.79
Ag1 0.6791 0.3583 0.1207  5 O 2.40-2.63
Ag2 0.3209 0.6417 0.8793  5 O 2.40-2.63
Sc1 0.5000 0.0000 0.5000  6 O 2.14

The density of states at the Fermi level comes out at 3.76 states/eV/cell. The uncorrected formation energy comes out at -128 kJ/mol of atoms. For the density, the calculation gives 5.5 Mg/m³.

***

[16]
Compound: Rb6CdHg2O
Source: Alexandria
Functional: GGA-PBE
Structure: relaxed

Cell: 9.0006 11.3015 10.6029 Å, 90.00 60.15 90.00°
Closest atoms and distances in Å follow each position.
Fractional coordinates of all 20 atoms:
Hg1 0.8641 0.0031 0.7793  1 Cd 2.93
Hg2 0.6359 0.5031 0.7207  1 Cd 2.93
Hg3 0.1359 0.9969 0.2207  1 Cd 2.93
Hg4 0.3641 0.4969 0.2793  1 Cd 2.93
Rb1 0.8034 0.6722 0.9408  1 O 2.90
Rb2 0.2970 0.1689 0.4434  1 O 2.90
Rb3 0.2662 0.9973 0.7855  1 O 2.69
Rb4 0.7970 0.3311 0.9434  1 O 2.90
Rb5 0.3034 0.8278 0.4408  1 O 2.90
Rb6 0.7662 0.5027 0.2855  1 O 2.69
Rb7 0.7338 0.0027 0.2145  1 O 2.69
Rb8 0.6966 0.1722 0.5592  1 O 2.90
Rb9 0.2338 0.4973 0.7145  1 O 2.69
Rb10 0.2030 0.6689 0.0566  1 O 2.90
Rb11 0.7030 0.8311 0.5566  1 O 2.90
Rb12 0.1966 0.3278 0.0592  1 O 2.90
Cd1 0.5000 0.0000 0.0000  2 Hg 2.93
Cd2 0.0000 0.5000 0.5000  2 Hg 2.93
O1 0.5000 0.0000 0.5000  6 Rb 2.69-2.90
O2 0.0000 0.5000 0.0000  6 Rb 2.69-2.90

The density of states at the Fermi level comes out at 10.78 states/eV/cell. The uncorrected formation energy comes out at -36 kJ/mol of atoms. For the density, the calculation gives 3.7 Mg/m³.

***

[17]
Compound: TbTh4S5
Source: Alexandria
Functional: GGA-PBE
Structure: relaxed

Cell: 5.6892 6.9665 6.9665 Å, 80.40 65.90 65.90°
Closest atoms and distances in Å follow each position.
Fractional coordinates of all 10 atoms:
S1 0.1009 0.6074 0.1926  1 Tb 2.78, 5 Th 2.85-2.89
S2 0.2936 0.8074 0.6074  1 Tb 2.78, 5 Th 2.85-2.89
S3 0.9010 0.3926 0.8074  1 Tb 2.78, 5 Th 2.85-2.89
S4 0.7084 0.1926 0.3926  1 Tb 2.78, 5 Th 2.85-2.89
S5 0.5012 0.0000 0.0000  2 Tb 2.84, 4 Th 2.86
Th1 0.1985 0.2043 0.4006  6 S 2.85-2.89
Th2 0.8034 0.7957 0.5994  6 S 2.85-2.89
Th3 0.5992 0.5994 0.2043  6 S 2.85-2.89
Th4 0.4028 0.4006 0.7957  6 S 2.85-2.89
Tb1 0.0012 0.0000 0.0000  6 S 2.78-2.84

The density of states at the Fermi level comes out at 7.03 states/eV/cell. The uncorrected formation energy comes out at -180 kJ/mol of atoms. For the density, the calculation gives 9.0 Mg/m³.